Record 1
VASP calculation (GGA-PBE) on an optimized crystal structure of MgTeW.

Cell and atoms, written as extended XYZ:
```
3
Lattice="-0.0090 -4.8302 0.8707 4.1590 2.2483 -1.3177 0.6069 0.4971 2.7636" Properties=species:S:1:pos:R:3 pbc="T T T"
Mg 0.0003 0.0003 0.0015
Te 1.6834 -2.2225 1.5212
W 3.0732 0.1374 0.7939
```

Summary:
Magnetization, μB/atom: 0.000
Formation energy from raw total energies, eV/atom: 0.609
Energy relative to the lowest polymorph listed for this composition, eV/f.u.: 0.788

Record 2
VASP calculation (GGA-PBE) on an optimized crystal structure of Tb5Dy2Th5.

Cell and atoms, written as extended XYZ:
```
12
Lattice="-2.2476 -2.4662 3.7854 3.4156 2.2033 6.8268 -6.3139 7.4494 4.4677" Properties=species:S:1:pos:R:3 pbc="T T T"
Tb -2.5730 3.5932 7.5399
Tb 0.3575 -0.0545 3.5401
Tb 0.6451 2.8526 8.9682
Tb -5.7911 4.3339 6.1117
Tb -5.5035 7.2410 11.5398
Dy -5.3702 4.2458 9.6676
Dy 0.2242 2.9407 5.4123
Th -2.1870 3.5382 11.0966
Th -2.6948 6.6053 9.4300
Th -2.4512 0.5811 5.6499
Th -2.9590 3.6483 3.9833
Th 0.0000 0.0000 0.0000
```

Summary:
ΔH_f (0 K), kJ/mol of atoms: 4.7
Magnetization, μB/atom: 0.000

Record 3
VASP calculation (GGA-PBE) on an optimized crystal structure of Zn2Os.

Cell and atoms, written as extended XYZ:
```
3
Lattice="-0.8409 -1.3923 -2.2295 1.5211 -1.2648 1.9242 -5.4645 -1.7620 3.1615" Properties=species:S:1:pos:R:3 pbc="T T T"
Os 0.0000 0.0000 0.0000
Zn -1.0770 -1.8912 1.5873
Zn -3.7073 -2.5279 1.2690
```

Summary:
ΔH_f (0 K), kJ/mol of atoms: 19.1
Magnetization, μB/atom: 0.000

Record 4
VASP calculation (GGA-PBE) on an optimized crystal structure of InGe3F.

Cell and atoms, written as extended XYZ:
```
5
Lattice="4.6877 0.0000 0.0000 0.0000 4.6877 0.0000 0.0000 0.0000 4.6877" Properties=species:S:1:pos:R:3 pbc="T T T"
Ge 0.0000 2.3438 0.0000
Ge 0.0000 0.0000 2.3438
Ge 2.3438 0.0000 0.0000
F 0.0000 0.0000 0.0000
In 2.3438 2.3438 2.3438
```

Summary:
Magnetization, μB/atom: 0.000
Formation energy from raw total energies, eV/atom: -0.028
Energy relative to the lowest polymorph listed for this composition, eV/f.u.: 0.000